<a>
A relaxed La2ZrSb2 crystal, computed with PBE.

The structure in POSCAR format:
```
La2ZrSb2
1.0
8.0393 0.0000 0.0000
0.0000 8.0393 0.0000
0.0000 0.0000 4.5968
Sb La Zr
4 4 2
direct
0.6462 0.1462 0.0000
0.8538 0.6462 0.0000
0.1462 0.3538 0.0000
0.3538 0.8538 0.0000
0.1632 0.6632 0.5000
0.8368 0.3368 0.5000
0.3368 0.1632 0.5000
0.6632 0.8368 0.5000
0.5000 0.5000 0.0000
0.0000 0.0000 0.0000
```

=====

<b>
A relaxed La2ZrSb2 crystal, computed with PBE.

The structure in POSCAR format:
```
La2ZrSb2
1.0
4.3574 0.0000 0.0000
0.0000 4.3574 0.0000
2.1787 2.1787 7.5986
La Sb Zr
2 2 1
direct
0.7500 0.2500 0.5000
0.2500 0.7500 0.5000
0.4062 0.4062 0.1876
0.5938 0.5938 0.8124
0.0000 0.0000 0.0000
```

=====

Which of them is the least stable? Correct choice: <b>.

=====

<a>
A relaxed LaZr2Sb2 crystal, computed with PBE.

The structure in POSCAR format:
```
LaZr2Sb2
1.0
-4.2187 0.4823 -1.0582
-1.0982 -0.3418 4.2222
-2.0433 7.0408 2.3063
Zr Sb La
2 2 1
direct
0.2500 0.7500 0.5000
0.7500 0.2500 0.5000
0.6097 0.6097 0.7807
0.3903 0.3903 0.2193
0.0000 0.0000 0.0000
```

=====

<b>
A relaxed LaZr2Sb2 crystal, computed with PBE.

The structure in POSCAR format:
```
LaZr2Sb2
1.0
5.5257 0.0000 0.0000
0.0000 5.5257 0.0000
2.7629 2.7629 4.6019
La Zr Sb
1 2 2
direct
0.0000 0.0000 0.0000
0.3487 0.3487 0.3027
0.6513 0.6513 0.6973
0.7500 0.2500 0.5000
0.2500 0.7500 0.5000
```

=====

<c>
A relaxed LaZr2Sb2 crystal, computed with PBE.

The structure in POSCAR format:
```
LaZr2Sb2
1.0
-4.0025 4.5569 5.5958
-4.0058 -6.7254 2.6116
2.7398 -0.6617 2.4985
La Zr Sb
2 4 4
direct
0.5000 0.5000 0.0000
0.0000 0.0000 0.0000
0.6497 0.8503 0.5000
0.3503 0.1497 0.5000
0.8503 0.3503 0.5000
0.1497 0.6497 0.5000
0.6397 0.1397 0.0000
0.8603 0.6397 0.0000
0.1397 0.3603 0.0000
0.3603 0.8603 0.0000
```

=====

Which of them is the least stable? Correct choice: <b>.

=====

<a>
A relaxed LaSc crystal, computed with PBE.

The structure in POSCAR format:
```
LaSc
1.0
-1.4326 -1.1762 9.8702
13.1589 -12.7144 0.3949
3.8233 3.9890 1.0303
La Sc
16 16
direct
0.0852 0.7500 0.7500
0.4148 0.2500 0.2500
0.6648 0.5000 0.5000
0.4148 0.7500 0.7500
0.6648 0.0000 0.0000
0.9148 0.7500 0.2500
0.5852 0.7500 0.2500
0.9148 0.2500 0.7500
0.8352 0.5000 0.0000
0.5852 0.2500 0.7500
0.1648 0.0000 0.5000
0.3352 0.5000 0.5000
0.1648 0.5000 0.0000
0.0852 0.2500 0.2500
0.8352 0.0000 0.5000
0.3352 0.0000 0.0000
0.7500 0.6705 0.7500
0.0000 0.5795 0.5000
0.7500 0.8295 0.7500
0.5000 0.9205 0.5000
0.0000 0.0795 0.0000
0.2500 0.3295 0.7500
0.2500 0.8295 0.2500
0.2500 0.1705 0.7500
0.0000 0.9205 0.0000
0.5000 0.4205 0.0000
0.5000 0.0795 0.5000
0.2500 0.6705 0.2500
0.0000 0.4205 0.5000
0.5000 0.5795 0.0000
0.7500 0.3295 0.2500
0.7500 0.1705 0.2500
```

=====

<b>
A relaxed LaSc crystal, computed with PBE.

The structure in POSCAR format:
```
LaSc
1.0
12.3093 0.0000 0.0000
0.0000 12.3093 0.0000
0.0000 0.0000 3.3098
La Sc
8 8
direct
0.8324 0.1219 0.0000
0.1676 0.8781 0.0000
0.6748 0.3953 0.5000
0.3252 0.6047 0.5000
0.6047 0.6748 0.5000
0.8781 0.8324 0.0000
0.1219 0.1676 0.0000
0.3953 0.3252 0.5000
0.3823 0.0650 0.0000
0.8483 0.5858 0.5000
0.4142 0.8483 0.5000
0.6177 0.9350 0.0000
0.9350 0.3823 0.0000
0.5858 0.1517 0.5000
0.1517 0.4142 0.5000
0.0650 0.6177 0.0000
```

=====

<c>
A relaxed LaSc crystal, computed with PBE.

The structure in POSCAR format:
```
LaSc
1.0
3.4950 0.0000 0.0000
-1.7475 3.0267 0.0000
0.0000 0.0000 17.0665
La Sc
3 3
direct
0.6667 0.3333 0.1667
0.0000 0.0000 0.9780
0.0000 0.0000 0.3553
0.0000 0.0000 0.6667
0.6667 0.3333 0.5206
0.6667 0.3333 0.8127
```

=====

<d>
A relaxed LaSc crystal, computed with PBE.

The structure in POSCAR format:
```
LaSc
1.0
3.5157 0.0000 0.0000
-1.7578 3.0447 0.0000
0.0000 0.0000 11.2885
Sc La
2 2
direct
0.0000 0.0000 0.5000
0.0000 0.0000 0.0000
0.6667 0.3333 0.7500
0.3333 0.6667 0.2500
```

=====

Which of them is the least stable? Correct choice: <b>.

=====

<a>
A relaxed LaSc crystal, computed with PBE.

The structure in POSCAR format:
```
LaSc
1.0
3.6955 0.0000 0.0000
0.0000 3.6955 0.0000
0.0000 0.0000 4.4432
La Sc
1 1
direct
0.5000 0.5000 0.5000
0.0000 0.0000 0.0000
```

=====

<b>
A relaxed LaSc crystal, computed with PBE.

The structure in POSCAR format:
```
LaSc
1.0
4.5334 0.0000 0.0000
2.2667 3.9260 0.0000
2.2667 1.3087 3.7015
La Sc
1 1
direct
0.0000 0.0000 0.0000
0.5000 0.5000 0.5000
```

=====

<c>
A relaxed LaSc crystal, computed with PBE.

The structure in POSCAR format:
```
LaSc
1.0
11.2068 0.0000 0.0000
-5.6034 9.7054 0.0000
0.0000 0.0000 3.4690
La Sc
6 6
direct
0.0994 0.3057 0.2500
0.7936 0.0994 0.7500
0.9006 0.6943 0.7500
0.6943 0.7936 0.2500
0.3057 0.2064 0.7500
0.2064 0.9006 0.2500
0.5902 0.4507 0.2500
0.1395 0.5902 0.7500
0.4098 0.5493 0.7500
0.4507 0.8605 0.7500
0.5493 0.1395 0.2500
0.8605 0.4098 0.2500
```

=====

<d>
A relaxed LaSc crystal, computed with PBE.

The structure in POSCAR format:
```
LaSc
1.0
-1.0043 -0.2419 3.3015
4.7959 -2.1489 1.3014
1.8854 5.9127 2.8152
Sc La
2 2
direct
0.6854 0.0000 0.5045
0.5646 0.5000 0.7455
0.2930 0.5000 0.2884
0.9570 0.0000 0.9616
```

=====

Which of them is the least stable? Correct choice: <b>.

=====

<a>
A relaxed LaSc crystal, computed with PBE.

The structure in POSCAR format:
```
LaSc
1.0
9.5025 0.0000 0.0000
0.0000 9.5025 0.0000
0.0000 0.0000 9.5025
Sc La
8 8
direct
0.1080 0.1080 0.1080
0.3920 0.3920 0.6080
0.6080 0.3920 0.3920
0.6080 0.6080 0.6080
0.8920 0.1080 0.8920
0.1080 0.8920 0.8920
0.3920 0.6080 0.3920
0.8920 0.8920 0.1080
0.2111 0.7889 0.2111
0.2889 0.7111 0.7111
0.2889 0.2889 0.2889
0.2111 0.2111 0.7889
0.7111 0.2889 0.7111
0.7889 0.7889 0.7889
0.7889 0.2111 0.2111
0.7111 0.7111 0.2889
```

=====

<b>
A relaxed LaSc crystal, computed with PBE.

The structure in POSCAR format:
```
LaSc
1.0
3.5077 0.0000 0.0000
-1.7539 3.0378 0.0000
0.0000 0.0000 11.3891
La Sc
2 2
direct
0.3333 0.6667 0.2710
0.0000 0.0000 0.9790
0.3333 0.6667 0.7336
0.0000 0.0000 0.5164
```

=====

Which of them is the least stable? Correct choice: <a>.

=====

<a>
A relaxed LaSc crystal, computed with PBE.

The structure in POSCAR format:
```
LaSc
1.0
2.6794 -4.6408 0.0000
2.6794 4.6408 0.0000
0.0000 0.0000 10.3010
La Sc
4 4
direct
0.3333 0.6667 0.5842
0.3333 0.6667 0.9158
0.6667 0.3333 0.0842
0.6667 0.3333 0.4158
0.3333 0.6667 0.2500
0.0000 0.0000 0.2500
0.0000 0.0000 0.7500
0.6667 0.3333 0.7500
```

=====

<b>
A relaxed LaSc crystal, computed with PBE.

The structure in POSCAR format:
```
LaSc
1.0
6.2501 0.0000 0.0000
0.0000 6.2501 0.0000
0.0000 0.0000 6.2501
Sc La
4 4
direct
0.3951 0.8951 0.6049
0.8951 0.6049 0.3951
0.1049 0.1049 0.1049
0.6049 0.3951 0.8951
0.4093 0.4093 0.4093
0.5907 0.9093 0.0907
0.9093 0.0907 0.5907
0.0907 0.5907 0.9093
```

=====

<c>
A relaxed LaSc crystal, computed with PBE.

The structure in POSCAR format:
```
LaSc
1.0
6.1222 0.0000 0.0000
-3.0611 5.3629 -0.0008
3.0611 -1.7302 5.5734
Sc La
3 3
direct
0.8392 0.5119 0.4899
0.4839 0.8214 0.5101
0.3452 0.6667 0.0000
0.6741 0.3476 0.9879
0.9810 0.9858 0.0121
0.1766 0.1667 0.5000
```

=====

Which of them is the least stable? Correct choice: <a>.